The following is a GGA+U calculation of an optimized crystal structure of K3Na2WO6, from Alexandria via LeMat-Bulk.

Unit cell a=5.989 b=5.989 c=6.312 alpha=99.18 beta=99.18 gamma=119.71
Fractional positions:
1 K 0.000 0.000 0.000
2 K 0.324 0.676 0.000
3 K 0.676 0.324 0.000
4 Na 0.166 0.834 0.500
5 Na 0.834 0.166 0.500
6 W 0.500 0.500 0.500
7 O 0.167 0.437 0.312
8 O 0.295 0.295 0.690
9 O 0.437 0.167 0.312
10 O 0.563 0.833 0.688
11 O 0.705 0.705 0.310
12 O 0.833 0.563 0.688

volume = 186.5 Å³/cell
density of states at the Fermi level = 9.3 states/eV/cell
total magnetization = 0.0891 μB/atom
E_tot = -5.27 eV per atom
space-group type = C2/m